First-principles (PBE) data for crystalline Li2CuPt at its relaxed geometry, as listed in the Alexandria database.

Properties
For the relative energy among the computed polymorphs, the calculation gives 0.053 eV per formula unit. The calculation puts the energy relative to the elements at -367 meV per atom.

Lattice parameters (Å, degrees): 3.8595 3.6991 3.6991 90.00 90.00 90.00
With the nearest neighbours (Å) after each atom.
Fractional positions:
Li (0.0000, 0.5000, 0.5000)  4 Li 2.62, 4 Cu 2.67, 4 Pt 2.67
Cu (0.5000, 0.0000, 0.5000)  4 Pt 2.62, 8 Li 2.67
Li (0.0000, 0.0000, 0.0000)  4 Li 2.62, 4 Pt 2.67, 4 Cu 2.67
Pt (0.5000, 0.5000, 0.0000)  4 Cu 2.62, 8 Li 2.67